<w>
# As2PbBr, optimized geometry, DFT GGA-PBEsol
# DOS(E_F) ... 0.444 states/eV per atom
data_As2PbBr
_cell_length_a 7.134
_cell_length_b 7.134
_cell_length_c 7.134
_cell_angle_alpha 90.00
_cell_angle_beta 90.00
_cell_angle_gamma 90.00
_symmetry_space_group_name_H-M 'F -4 3 m'
_symmetry_Int_Tables_number 216
_symmetry_space_group_name_Hall 'F -4 2 3'
loop_
_atom_site_label
_atom_site_fract_x
_atom_site_fract_y
_atom_site_fract_z
As1 0.000 0.000 0.000
As2 0.250 0.250 0.250
Pb1 0.000 0.000 0.500
Br1 0.250 0.250 0.750

***

<x>
# As2PbBr, optimized geometry, DFT GGA-PBEsol
# DOS(E_F) ... 0.564 states/eV per atom
data_As2PbBr
_cell_length_a 3.3853
_cell_length_b 3.3853
_cell_length_c 27.8777
_cell_angle_alpha 90.00
_cell_angle_beta 90.00
_cell_angle_gamma 120.00
_symmetry_space_group_name_H-M 'R -3 m'
_symmetry_Int_Tables_number 166
_symmetry_space_group_name_Hall '-R 3 2"'
loop_
_atom_site_label
_atom_site_fract_x
_atom_site_fract_y
_atom_site_fract_z
As1 0.0000 0.0000 0.2473
Pb1 0.0000 0.0000 0.0000
Br1 0.0000 0.0000 0.5000

***

<w> is preferred energetically. Next in line: 183 meV per atom higher.

***

<w>
# AsPtBr2, optimized geometry, DFT GGA-PBEsol
# DOS(E_F) ... 0.482 states/eV per atom
data_AsPtBr2
_cell_length_a 3.347
_cell_length_b 3.347
_cell_length_c 6.884
_cell_angle_alpha 90.00
_cell_angle_beta 90.00
_cell_angle_gamma 90.00
_symmetry_space_group_name_H-M 'P 4/m m m'
_symmetry_Int_Tables_number 123
_symmetry_space_group_name_Hall '-P 4 2'
loop_
_atom_site_label
_atom_site_fract_x
_atom_site_fract_y
_atom_site_fract_z
As1 0.000 0.000 0.000
Pt1 0.000 0.000 0.500
Br1 0.500 0.500 0.257

***

<x>
# AsPtBr2, optimized geometry, DFT GGA-PBEsol
# DOS(E_F) ... 0.401 states/eV per atom
data_AsPtBr2
_cell_length_a 3.129
_cell_length_b 4.423
_cell_length_c 5.778
_cell_angle_alpha 90.00
_cell_angle_beta 90.00
_cell_angle_gamma 90.00
_symmetry_space_group_name_H-M 'P m m m'
_symmetry_Int_Tables_number 47
loop_
_symmetry_equiv_pos_as_xyz
'x,y,z'
'-x,-y,-z'
'-x,-y,z'
'x,y,-z'
'x,-y,-z'
'-x,y,z'
'-x,y,-z'
'x,-y,z'
loop_
_atom_site_label
_atom_site_fract_x
_atom_site_fract_y
_atom_site_fract_z
As1 0.000 0.000 0.000
Pt1 0.500 0.000 0.500
Br1 0.000 0.500 0.500
Br2 0.500 0.500 0.000

***

<y>
# AsPtBr2, optimized geometry, DFT GGA-PBEsol
# DOS(E_F) ... 0.530 states/eV per atom
data_AsPtBr2
_cell_length_a 4.569
_cell_length_b 4.569
_cell_length_c 16.970
_cell_angle_alpha 90.00
_cell_angle_beta 90.00
_cell_angle_gamma 90.00
_symmetry_space_group_name_H-M 'I -4 2 d'
_symmetry_Int_Tables_number 122
_symmetry_space_group_name_Hall 'I -4 2bw'
loop_
_atom_site_label
_atom_site_fract_x
_atom_site_fract_y
_atom_site_fract_z
As1 0.000 0.000 0.000
Pt1 0.000 0.000 0.500
Br1 0.238 0.250 0.625

***

<x> is preferred energetically. Next in line: 39 meV per atom higher.

***

<w>
# As2PtBr, optimized geometry, DFT GGA-PBEsol
# DOS(E_F) ... 0.602 states/eV per atom
data_As2PtBr
_cell_length_a 3.8198
_cell_length_b 3.8198
_cell_length_c 20.1391
_cell_angle_alpha 90.00
_cell_angle_beta 90.00
_cell_angle_gamma 120.00
_symmetry_space_group_name_H-M 'R -3 m'
_symmetry_Int_Tables_number 166
_symmetry_space_group_name_Hall '-R 3 2"'
loop_
_atom_site_label
_atom_site_fract_x
_atom_site_fract_y
_atom_site_fract_z
As1 0.0000 0.0000 0.2254
Pt1 0.0000 0.0000 0.5000
Br1 0.0000 0.0000 0.0000

***

<x>
# As2PtBr, optimized geometry, DFT GGA-PBEsol
# DOS(E_F) ... 0.836 states/eV per atom
data_As2PtBr
_cell_length_a 3.007
_cell_length_b 4.818
_cell_length_c 10.660
_cell_angle_alpha 90.00
_cell_angle_beta 90.00
_cell_angle_gamma 90.00
_symmetry_space_group_name_H-M 'I m m m'
_symmetry_Int_Tables_number 71
_symmetry_space_group_name_Hall '-I 2 2'
loop_
_atom_site_label
_atom_site_fract_x
_atom_site_fract_y
_atom_site_fract_z
As1 0.000 0.000 0.200
Pt1 0.000 0.500 0.500
Br1 0.000 0.500 0.000

***

<w> is preferred energetically. Next in line: 451 meV per atom higher.

***

<w>
# ReAsBr2, optimized geometry, DFT GGA-PBEsol
# DOS(E_F) ... 0.807 states/eV per atom
data_ReAsBr2
_cell_length_a 3.029
_cell_length_b 3.029
_cell_length_c 8.965
_cell_angle_alpha 90.00
_cell_angle_beta 90.00
_cell_angle_gamma 90.00
_symmetry_space_group_name_H-M 'P 4 m m'
_symmetry_Int_Tables_number 99
loop_
_symmetry_equiv_pos_as_xyz
'x,y,z'
'-y,x,z'
'-x,-y,z'
'y,-x,z'
'-x,y,z'
'y,x,z'
'x,-y,z'
'-y,-x,z'
loop_
_atom_site_label
_atom_site_fract_x
_atom_site_fract_y
_atom_site_fract_z
Re1 0.000 0.000 0.000
As1 0.500 0.500 0.167
Br1 0.000 0.000 0.474
Br2 0.500 0.500 0.810

***

<x>
# ReAsBr2, optimized geometry, DFT GGA-PBEsol
# DOS(E_F) ... 1.186 states/eV per atom
data_ReAsBr2
_cell_length_a 2.981
_cell_length_b 5.539
_cell_length_c 9.701
_cell_angle_alpha 90.00
_cell_angle_beta 90.00
_cell_angle_gamma 90.00
_symmetry_space_group_name_H-M 'C m m m'
_symmetry_Int_Tables_number 65
_symmetry_space_group_name_Hall '-C 2 2'
loop_
_atom_site_label
_atom_site_fract_x
_atom_site_fract_y
_atom_site_fract_z
Re1 0.000 0.000 0.000
As1 0.000 0.000 0.500
Br1 0.000 0.500 0.210

***

<y>
# ReAsBr2, optimized geometry, DFT GGA-PBEsol
# DOS(E_F) ... 0.752 states/eV per atom
data_ReAsBr2
_cell_length_a 6.561
_cell_length_b 6.561
_cell_length_c 6.561
_cell_angle_alpha 90.00
_cell_angle_beta 90.00
_cell_angle_gamma 90.00
_symmetry_space_group_name_H-M 'F m -3 m'
_symmetry_Int_Tables_number 225
_symmetry_space_group_name_Hall '-F 4 2 3'
loop_
_atom_site_label
_atom_site_fract_x
_atom_site_fract_y
_atom_site_fract_z
Re1 0.000 0.000 0.000
As1 0.000 0.000 0.500
Br1 0.250 0.250 0.250

***

<w> is preferred energetically. Next in line: 435 meV per atom higher.

***

<w>
# Re2AsBr, optimized geometry, DFT GGA-PBEsol
# DOS(E_F) ... 0.876 states/eV per atom
data_Re2AsBr
_cell_length_a 4.348
_cell_length_b 2.953
_cell_length_c 5.197
_cell_angle_alpha 90.00
_cell_angle_beta 113.42
_cell_angle_gamma 90.00
_symmetry_space_group_name_H-M 'P 1 2/m 1'
_symmetry_Int_Tables_number 10
loop_
_symmetry_equiv_pos_as_xyz
'x,y,z'
'-x,-y,-z'
'-x,y,-z'
'x,-y,z'
loop_
_atom_site_label
_atom_site_fract_x
_atom_site_fract_y
_atom_site_fract_z
Re1 0.000 0.000 0.000
Re2 0.000 0.500 0.500
As1 0.500 0.000 0.500
Br1 0.500 0.500 0.000

***

<x>
# Re2AsBr, optimized geometry, DFT GGA-PBEsol
# DOS(E_F) ... 0.810 states/eV per atom
data_Re2AsBr
_cell_length_a 4.120
_cell_length_b 4.120
_cell_length_c 7.484
_cell_angle_alpha 90.00
_cell_angle_beta 90.00
_cell_angle_gamma 90.00
_symmetry_space_group_name_H-M 'I -4 m 2'
_symmetry_Int_Tables_number 119
_symmetry_space_group_name_Hall 'I -4 -2'
loop_
_atom_site_label
_atom_site_fract_x
_atom_site_fract_y
_atom_site_fract_z
Re1 0.000 0.000 0.000
Re2 0.000 0.500 0.250
As1 0.000 0.000 0.500
Br1 0.000 0.500 0.750

***

<w> is preferred energetically. Next in line: 333 meV per atom higher.

***

<w>
# As2RhBr, optimized geometry, DFT GGA-PBEsol
# DOS(E_F) ... 0.680 states/eV per atom
data_As2RhBr
_cell_length_a 3.297
_cell_length_b 3.297
_cell_length_c 7.068
_cell_angle_alpha 90.00
_cell_angle_beta 90.00
_cell_angle_gamma 90.00
_symmetry_space_group_name_H-M 'P 4 m m'
_symmetry_Int_Tables_number 99
loop_
_symmetry_equiv_pos_as_xyz
'x,y,z'
'-y,x,z'
'-x,-y,z'
'y,-x,z'
'-x,y,z'
'y,x,z'
'x,-y,z'
'-y,-x,z'
loop_
_atom_site_label
_atom_site_fract_x
_atom_site_fract_y
_atom_site_fract_z
As1 0.000 0.000 0.000
As2 0.500 0.500 0.211
Rh1 0.500 0.500 0.850
Br1 0.000 0.000 0.582

***

<x>
# As2RhBr, optimized geometry, DFT GGA-PBEsol
# DOS(E_F) ... 0.497 states/eV per atom
data_As2RhBr
_cell_length_a 3.001
_cell_length_b 4.559
_cell_length_c 10.733
_cell_angle_alpha 90.00
_cell_angle_beta 90.00
_cell_angle_gamma 90.00
_symmetry_space_group_name_H-M 'I m m m'
_symmetry_Int_Tables_number 71
_symmetry_space_group_name_Hall '-I 2 2'
loop_
_atom_site_label
_atom_site_fract_x
_atom_site_fract_y
_atom_site_fract_z
As1 0.000 0.000 0.195
Rh1 0.000 0.500 0.500
Br1 0.000 0.500 0.000

***

<y>
# As2RhBr, optimized geometry, DFT GGA-PBEsol
# DOS(E_F) ... 0.476 states/eV per atom
data_As2RhBr
_cell_length_a 4.977
_cell_length_b 9.198
_cell_length_c 3.341
_cell_angle_alpha 90.00
_cell_angle_beta 90.00
_cell_angle_gamma 90.00
_symmetry_space_group_name_H-M 'C m m m'
_symmetry_Int_Tables_number 65
_symmetry_space_group_name_Hall '-C 2 2'
loop_
_atom_site_label
_atom_site_fract_x
_atom_site_fract_y
_atom_site_fract_z
As1 0.000 0.196 0.000
Rh1 0.000 0.000 0.500
Br1 0.000 0.500 0.500

***

<y> is preferred energetically. Next in line: 240 meV per atom higher.